## Ca2WO5 (GGA-PBEsol)

Data for a geometry-optimized Ca2WO5 structure.

Summary:
* E_form (uncorrected): -2746 meV/atom
* Fermi-level density of states: 0.00 states/eV/cell
* magnetization: 0.000 μB per formula unit
* crystal system: monoclinic
* excess energy over the best structure of this formula in the dataset: 0 meV/atom
* total DFT energy (no corrections): -8.286 eV per atom

```
data_Ca2WO5
_cell_length_a 7.426
_cell_length_b 5.264
_cell_length_c 11.044
_cell_angle_alpha 90.00
_cell_angle_beta 109.23
_cell_angle_gamma 90.00
_symmetry_space_group_name_H-M 'P 1 21/c 1'
_symmetry_Int_Tables_number 14
loop_
_symmetry_equiv_pos_as_xyz
'x,y,z'
'-x,-y,-z'
'-x,y+1/2,-z+1/2'
'x,-y+1/2,z+1/2'
loop_
_atom_site_label
_atom_site_type_symbol
_atom_site_fract_x
_atom_site_fract_y
_atom_site_fract_z
_atom_site_occupancy
Ca1 Ca 0.153 0.084 0.313 1
Ca2 Ca 0.340 0.512 0.128 1
W1 W 0.000 0.000 0.000 1
W2 W 0.500 0.000 0.000 1
O1 O 0.004 0.226 0.612 1
O2 O 0.116 0.703 0.647 1
O3 O 0.251 0.130 0.001 1
O4 O 0.391 0.689 0.928 1
O5 O 0.443 0.153 0.832 1
```